# 1
VASP calculation (SCAN) on RuPtRh2 at its PBEsol-relaxed geometry.

- energy relative to the lowest polymorph listed for this composition (eV/atom) = 0.059
- formation energy from the elements (eV per atom) = 0.01

POSCAR file:
```
RuPtRh2
1.0
-0.761 0.698 -2.480
-0.027 -1.834 -1.963
-8.603 -2.389 0.512
Rh Ru Pt
2 1 1
direct
0.751 0.751 0.746
0.002 0.002 0.995
0.498 0.498 0.507
0.249 0.249 0.253
```

# 2
VASP calculation (SCAN) on Ru2PtRh at its PBEsol-relaxed geometry.

- energy relative to the lowest polymorph listed for this composition (eV/atom) = 0.020
- formation energy from the elements (eV per atom) = 0.01

POSCAR file:
```
Ru2PtRh
1.0
-1.466 -0.462 -2.203
0.179 -2.365 -1.261
-6.973 -4.114 3.864
Rh Ru Pt
1 2 1
direct
0.253 0.253 0.241
0.001 0.001 0.996
0.747 0.747 0.760
0.499 0.499 0.502
```

# 3
VASP calculation (SCAN) on RuPtRh at its PBEsol-relaxed geometry.

- energy relative to the lowest polymorph listed for this composition (eV/atom) = 0.000
- formation energy from the elements (eV per atom) = -0.05

POSCAR file:
```
RuPtRh
1.0
2.690 0.000 0.000
0.000 2.690 0.000
-1.345 -1.345 5.772
Ru Pt Rh
1 1 1
direct
0.672 0.672 0.343
0.003 0.003 0.006
0.326 0.326 0.651
```

# 4
VASP calculation (SCAN) on PtRh2S2 at its PBEsol-relaxed geometry.

- energy relative to the elements, uncorrected (eV per atom) = -0.0465

POSCAR file:
```
PtRh2S2
1.0
4.588 0.000 0.000
-2.294 4.233 0.004
0.000 2.482 3.858
Pt Rh S
1 2 2
direct
0.000 0.000 0.000
0.250 0.500 0.250
0.750 0.500 0.750
0.679 0.359 0.321
0.321 0.641 0.679
```

# 5
VASP calculation (SCAN) on SbPtRh at its PBEsol-relaxed geometry.

- energy relative to the elements, uncorrected (eV per atom) = -0.3325

POSCAR file:
```
SbPtRh
1.0
-2.868 0.917 3.025
1.161 0.013 4.107
0.254 3.687 2.134
Pt Sb Rh
1 1 1
direct
0.000 0.000 0.000
0.750 0.750 0.750
0.500 0.500 0.500
```

# 6
VASP calculation (SCAN) on SbPtRh2 at its PBEsol-relaxed geometry.

- energy relative to the elements, uncorrected (eV per atom) = -0.1927

POSCAR file:
```
SbPtRh2
1.0
4.002 0.000 0.000
0.000 4.150 0.000
-2.001 -2.075 3.695
Rh Sb Pt
2 1 1
direct
0.757 0.757 0.515
0.243 0.243 0.485
0.500 0.000 0.000
0.000 0.500 0.000
```

# 7
VASP calculation (SCAN) on Sb2PtRh at its PBEsol-relaxed geometry.

- energy relative to the lowest polymorph listed for this composition (eV/atom) = 0.000
- energy relative to the elements, uncorrected (eV per atom) = -0.2685

POSCAR file:
```
Sb2PtRh
1.0
3.831 0.000 0.000
0.000 3.831 0.000
0.000 0.000 5.393
Rh Sb Pt
1 2 1
direct
0.000 0.000 0.500
0.500 0.500 0.500
0.000 0.000 0.000
0.500 0.500 0.000
```

# 8
VASP calculation (SCAN) on SbPtRh2 at its PBEsol-relaxed geometry.

- energy relative to the elements, uncorrected (eV per atom) = -0.0630

POSCAR file:
```
SbPtRh2
1.0
-2.479 1.492 -0.455
-1.559 -1.704 2.909
1.864 4.142 3.426
Rh Pt Sb
2 1 1
direct
0.000 0.000 0.746
0.000 0.000 0.254
0.500 0.500 0.500
0.500 0.500 0.000
```

# 9
VASP calculation (SCAN) on SbPt2Rh at its PBEsol-relaxed geometry.

- energy relative to the elements, uncorrected (eV per atom) = -0.1938

POSCAR file:
```
SbPt2Rh
1.0
4.098 0.000 0.000
0.000 3.901 0.404
0.000 -0.403 3.901
Sb Rh Pt
1 1 2
direct
0.500 0.500 0.500
0.500 0.000 0.000
0.000 0.000 0.500
0.000 0.500 0.000
```

# 10
VASP calculation (SCAN) on SbPtRh2 at its PBEsol-relaxed geometry.

- energy relative to the elements, uncorrected (eV per atom) = -0.2857

POSCAR file:
```
SbPtRh2
1.0
3.840 0.000 0.000
0.000 3.984 0.000
0.000 0.000 3.984
Rh Pt Sb
2 1 1
direct
0.000 0.000 0.500
0.000 0.500 0.000
0.500 0.000 0.000
0.500 0.500 0.500
```

# 11
VASP calculation (SCAN) on Sb2PtRh at its PBEsol-relaxed geometry.

- energy relative to the lowest polymorph listed for this composition (eV/atom) = 0.306
- energy relative to the elements, uncorrected (eV per atom) = 0.0374

POSCAR file:
```
Sb2PtRh
1.0
-3.932 -0.537 -0.378
0.590 -3.896 -0.603
1.338 1.465 5.013
Pt Rh Sb
1 1 2
direct
0.500 0.500 0.000
0.250 0.750 0.500
0.750 0.250 0.500
0.000 0.000 0.000
```

# 12
VASP calculation (SCAN) on ScPtRh2 at its PBEsol-relaxed geometry.

- formation energy from the elements (eV per atom) = -0.21

POSCAR file:
```
ScPtRh2
1.0
2.838 0.000 0.000
1.419 2.458 0.000
1.419 0.819 8.701
Rh Sc Pt
2 1 1
direct
0.753 0.753 0.742
0.247 0.247 0.258
0.500 0.500 0.500
0.000 0.000 0.000
```